[1]
Entry from the Alexandria database: AgWSe at its PBEsol-relaxed geometry (meta-GGA SCAN).

Cell lengths 2.9799, 2.9799, 6.4582 Å; angles 103.34, 103.34, 90.00 degrees
Closest atoms and distances in Å follow each position.
Element x y z (fractional)
Ag  0.9794  0.9794  0.9587  4 W 2.86, 4 Ag 2.98
Se  0.6995  0.6995  0.3989  4 W 2.58
W  0.3212  0.3212  0.6423  4 Se 2.58, 4 Ag 2.86

Calculated values
**ρ**: 11.4 g/cm3
**Final energy**: -39.92 eV/atom
**Uncorrected formation energy**: 0.46 eV per atom

***

[2]
Entry from the Alexandria database: BaTlRuCl2 at its PBEsol-relaxed geometry (meta-GGA SCAN).

Cell lengths 5.4268, 5.8259, 5.8259 Å; angles 90.00, 90.00, 90.00 degrees
Closest atoms and distances in Å follow each position.
Element x y z (fractional)
Ru  0.5000  0.0000  0.0000  2 Ba 2.71
Tl  0.5000  0.5000  0.5000  8 Cl 3.98, 4 Ru 4.12
Ba  0.0000  0.0000  0.0000  2 Ru 2.71, 4 Cl 2.91
Cl  0.0000  0.0000  0.5000  2 Ba 2.91
Cl  0.0000  0.5000  0.0000  2 Ba 2.91

Calculated values
**ρ**: 4.6 g/cm3
**Final energy**: -32.71 eV/atom
**Uncorrected formation energy**: -0.17 eV per atom

***

[3]
Entry from the Alexandria database: SbPbAu at its PBEsol-relaxed geometry (meta-GGA SCAN).

Cell lengths 4.4922, 4.4922, 4.5619 Å; angles 90.00, 90.00, 120.00 degrees
Closest atoms and distances in Å follow each position.
Element x y z (fractional)
Pb  0.3333  0.6667  0.7180  3 Au 3.03
Sb  0.6667  0.3333  0.2213  3 Au 2.70
Au  0.0000  0.0000  0.0607  3 Sb 2.70

Calculated values
**ρ**: 11.0 g/cm3
**Distance to the lowest polymorph of the same formula**: 0.0000 eV per atom
**Final energy**: -60.87 eV/atom
**Uncorrected formation energy**: -0.14 eV per atom

***

[4]
Entry from the Alexandria database: Sr3V2O8 at its PBEsol-relaxed geometry (meta-GGA SCAN).

Cell lengths 5.5779, 5.5779, 7.4176 Å; angles 67.91, 67.91, 60.00 degrees
Closest atoms and distances in Å follow each position.
Element x y z (fractional)
Sr  0.2020  0.2020  0.3941  4 O 2.40-2.57
Sr  0.7980  0.7980  0.6059  4 O 2.40-2.57
Sr  0.0000  0.0000  0.0000  6 O 2.60
V  0.4062  0.4062  0.7813  4 O 1.70-1.72
V  0.5938  0.5938  0.2187  4 O 1.70-1.72
O  0.7694  0.2680  0.6945  1 V 1.72
O  0.2680  0.7694  0.6945  1 V 1.72
O  0.2680  0.2680  0.6945  1 V 1.72
O  0.2306  0.7320  0.3055  1 V 1.72
O  0.7320  0.2306  0.3055  1 V 1.72
O  0.6784  0.6784  0.9648  1 V 1.70
O  0.3216  0.3216  0.0352  1 V 1.70
O  0.7320  0.7320  0.3055  1 V 1.72

Calculated values
**ρ**: 4.5 g/cm3
**Final energy**: -14.81 eV/atom
**Uncorrected formation energy**: -3.14 eV per atom

***

[5]
Entry from the Alexandria database: FeSi2Ir at its PBEsol-relaxed geometry (meta-GGA SCAN).

Cell lengths 3.4896, 3.4896, 4.6788 Å; angles 111.90, 111.90, 90.00 degrees
Closest atoms and distances in Å follow each position.
Element x y z (fractional)
Fe  0.5000  0.5000  0.0000  8 Si 2.47-2.64, 4 Ir 2.64
Ir  0.2500  0.7500  0.5000  8 Si 2.47-2.64, 4 Fe 2.64
Si  0.0000  0.0000  0.0000  4 Fe 2.47, 4 Ir 2.64, 4 Si 2.64
Si  0.7500  0.2500  0.5000  4 Ir 2.47, 4 Fe 2.64, 4 Si 2.64

Calculated values
**ρ**: 10.4 g/cm3
**Final energy**: -27.58 eV/atom
**Uncorrected formation energy**: -0.26 eV per atom

***

[6]
Entry from the Alexandria database: NpB4H16 at its PBEsol-relaxed geometry (meta-GGA SCAN).

Cell lengths 5.7791, 8.3004, 8.3004 Å; angles 90.00, 90.00, 90.00 degrees
Closest atoms and distances in Å follow each position.
Element x y z (fractional)
Np  0.0000  0.0000  0.0000  12 H 2.22, 4 B 2.42
Np  0.5000  0.5000  0.5000  12 H 2.22, 4 B 2.42
B  0.2455  0.2369  0.0000  4 H 1.20-1.26
B  0.7455  0.5000  0.2631  4 H 1.20-1.26
B  0.7455  0.5000  0.7369  4 H 1.20-1.26
B  0.2455  0.7631  0.0000  4 H 1.20-1.26
B  0.2545  0.2631  0.5000  4 H 1.20-1.26
B  0.2545  0.7369  0.5000  4 H 1.20-1.26
B  0.7545  0.0000  0.2369  4 H 1.20-1.26
B  0.7545  0.0000  0.7631  4 H 1.20-1.26
H  0.3678  0.3539  0.0000  1 B 1.20
H  0.8678  0.5000  0.1461  1 B 1.20
H  0.8678  0.5000  0.8539  1 B 1.20
H  0.3678  0.6461  0.0000  1 B 1.20
H  0.1322  0.1461  0.5000  1 B 1.20
H  0.1322  0.8539  0.5000  1 B 1.20
H  0.6322  0.0000  0.3539  1 B 1.20
H  0.6322  0.0000  0.6461  1 B 1.20
H  0.0311  0.2668  0.0000  1 B 1.26
H  0.5311  0.5000  0.2332  1 B 1.26
H  0.5311  0.5000  0.7668  1 B 1.26
H  0.0311  0.7332  0.0000  1 B 1.26
H  0.4689  0.2332  0.5000  1 B 1.26
H  0.4689  0.7668  0.5000  1 B 1.26
H  0.9689  0.0000  0.2668  1 B 1.26
H  0.9689  0.0000  0.7332  1 B 1.26
H  0.2728  0.1450  0.1199  1 B 1.26
H  0.7728  0.6199  0.3550  1 B 1.26
H  0.7728  0.3801  0.6450  1 B 1.26
H  0.2728  0.8550  0.8801  1 B 1.26
H  0.2272  0.3550  0.6199  1 B 1.26
H  0.2272  0.6450  0.3801  1 B 1.26
H  0.7272  0.1199  0.1450  1 B 1.26
H  0.7272  0.8801  0.8550  1 B 1.26
H  0.2272  0.3550  0.3801  1 B 1.26
H  0.7272  0.8801  0.1450  1 B 1.26
H  0.7272  0.1199  0.8550  1 B 1.26
H  0.2272  0.6450  0.6199  1 B 1.26
H  0.2728  0.1450  0.8801  1 B 1.26
H  0.2728  0.8550  0.1199  1 B 1.26
H  0.7728  0.3801  0.3550  1 B 1.26
H  0.7728  0.6199  0.6450  1 B 1.26

Calculated values
**ρ**: 2.5 g/cm3
**Final energy**: -9.28 eV/atom

***

[7]
Entry from the Alexandria database: IrPbAu at its PBEsol-relaxed geometry (meta-GGA SCAN).

Cell lengths 4.4560, 4.4560, 4.4560 Å; angles 60.00, 60.00, 60.00 degrees
Closest atoms and distances in Å follow each position.
Element x y z (fractional)
Au  0.0000  0.0000  0.0000  4 Pb 2.73
Ir  0.5000  0.5000  0.5000  4 Pb 2.73
Pb  0.7500  0.7500  0.7500  4 Ir 2.73, 4 Au 2.73

Calculated values
**ρ**: 15.8 g/cm3
**Distance to the lowest polymorph of the same formula**: 0.1754 eV per atom
**Energy of formation from the pure elements**: 0.7580 eV per atom
**Final energy**: -71.25 eV/atom

***

[8]
Entry from the Alexandria database: KScTeIr2 at its PBEsol-relaxed geometry (meta-GGA SCAN).

Cell lengths 4.7369, 4.7369, 5.1719 Å; angles 90.00, 90.00, 90.00 degrees
Closest atoms and distances in Å follow each position.
Element x y z (fractional)
Sc  0.0000  0.0000  0.0000  4 Ir 2.37, 2 K 2.59
K  0.0000  0.0000  0.5000  2 Sc 2.59
Ir  0.0000  0.5000  0.0000  2 Sc 2.37
Ir  0.5000  0.0000  0.0000  2 Sc 2.37
Te  0.5000  0.5000  0.5000  4 K 3.35, 8 Ir 3.51

Calculated values
**ρ**: 8.5 g/cm3
**Final energy**: -39.38 eV/atom
**Uncorrected formation energy**: 1.02 eV per atom